[1]
# ErScW (PBE-GGA, relaxed)
data_ErScW
_chemical_formula_sum 'Er4 Sc4 W4'
_space_group_name_H-M_alt 'F -4 3 m'
_space_group_IT_number 216
_space_group_name_Hall 'F -4 2 3'
_cell_length_a 6.650
_cell_length_b 6.650
_cell_length_c 6.650
_cell_angle_alpha 90.00
_cell_angle_beta 90.00
_cell_angle_gamma 90.00
loop_
_atom_site_label
_atom_site_fract_x
_atom_site_fract_y
_atom_site_fract_z
Er1 0.000 0.000 0.000
Sc1 0.250 0.250 0.250
W1 0.000 0.000 0.500
# E above lowest polymorph = 0 meV/atom
# Magnetization = 6.27 Bohr magnetons per cell

=====

[2]
# ErScZn6 (PBE-GGA, relaxed)
data_ErScZn6
_chemical_formula_sum 'Er1 Sc1 Zn6'
_space_group_name_H-M_alt 'P 4/m m m'
_space_group_IT_number 123
_space_group_name_Hall '-P 4 2'
_cell_length_a 4.573
_cell_length_b 4.573
_cell_length_c 6.451
_cell_angle_alpha 90.00
_cell_angle_beta 90.00
_cell_angle_gamma 90.00
loop_
_atom_site_label
_atom_site_fract_x
_atom_site_fract_y
_atom_site_fract_z
Er1 0.000 0.000 0.000
Sc1 0.500 0.500 0.500
Zn1 0.000 0.000 0.500
Zn2 0.000 0.500 0.262
Zn3 0.500 0.500 0.000
# Total DFT energy (no corrections) = -2.597 eV per atom
# Magnetization = 0.01 Bohr magnetons per cell

=====

[3]
# ErZrSc (PBE-GGA, relaxed)
data_ErZrSc
_chemical_formula_sum 'Er4 Zr4 Sc4'
_space_group_name_H-M_alt 'F -4 3 m'
_space_group_IT_number 216
_space_group_name_Hall 'F -4 2 3'
_cell_length_a 7.073
_cell_length_b 7.073
_cell_length_c 7.073
_cell_angle_alpha 90.00
_cell_angle_beta 90.00
_cell_angle_gamma 90.00
loop_
_atom_site_label
_atom_site_fract_x
_atom_site_fract_y
_atom_site_fract_z
Er1 0.000 0.000 0.000
Zr1 0.000 0.000 0.500
Sc1 0.250 0.250 0.250
# E above lowest polymorph = 0 meV/atom
# Magnetization = 0.21 Bohr magnetons per cell